ScTaOs | GGA-PBE | optimized geometry

Output
**Size of the total moment**: 0.0 μB/f.u.
**Calculated volume**: 19.5 Å³ per atom
**Energy above the most stable polymorph in this dataset**: 0.000 eV/atom
**ΔE_f**: -329 meV/atom

Structure (POSCAR):
```
ScTaOs
1.0
-1.5687 1.5687 11.8955
1.5687 -1.5687 11.8955
1.5687 1.5687 -11.8955
Sc Ta Os
2 2 2
direct
0.0732 0.0732 0.0000
0.9268 0.9268 0.0000
0.2109 0.2109 0.0000
0.7891 0.7891 0.0000
0.3548 0.3548 0.0000
0.6452 0.6452 0.0000
```